A relaxed structure of CaCu3Mo. Source: Alexandria, functional PBE.

Energy above the lowest structure with this stoichiometry, meV/atom: 0.0
Calculated volume, Å³/f.u.: 107
Mass density, kg/m³: 5074
Magnetization, μB/f.u.: 0.00
DOS(E_F), states/eV per cell: 5.77

Unit cell a=4.746 b=4.746 c=4.746 alpha=90.00 beta=90.00 gamma=90.00
Positions (direct):
Ca (0.000, 0.000, 0.000)
Cu (0.000, 0.500, 0.500)
Cu (0.500, 0.000, 0.500)
Cu (0.500, 0.500, 0.000)
Mo (0.500, 0.500, 0.500)